(1)
GGA-PBE CuGe2H2, relaxed; DFT total energy = -3.535 eV/atom; symmetry = I4/mmm (139)
1.0
-1.524 1.524 6.114
1.524 -1.524 6.114
1.524 1.524 -6.114
Cu Ge H
1 2 2
direct
0.000 0.000 0.000
0.365 0.365 0.000
0.635 0.635 0.000
0.250 0.750 0.500
0.750 0.250 0.500

***

(2)
GGA-PBE CuGeH2, relaxed; polymorph energy (0 for the lowest one) = 0.000 eV per atom; symmetry = I-42d (122)
1.0
-2.291 2.291 4.102
2.291 -2.291 4.102
2.291 2.291 -4.102
Cu Ge H
2 2 4
direct
0.000 0.000 0.000
0.750 0.250 0.500
0.250 0.750 0.500
0.500 0.500 0.000
0.007 0.625 0.882
0.375 0.257 0.382
0.743 0.125 0.118
0.875 0.993 0.618

***

(3)
GGA-PBE Cu3GeH, relaxed; polymorph energy (0 for the lowest one) = 0.853 eV per atom; symmetry = Pm-3m (221)
1.0
4.576 0.000 0.000
0.000 4.576 0.000
0.000 0.000 4.576
Cu Ge H
3 1 1
direct
0.000 0.000 0.500
0.000 0.500 0.000
0.500 0.000 0.000
0.000 0.000 0.000
0.500 0.500 0.500

***

(4)
GGA-PBE HfCu2GeH, relaxed; DFT total energy = -5.433 eV/atom; symmetry = P4/mmm (123)
1.0
3.911 0.000 0.000
0.000 3.911 0.000
0.000 0.000 4.134
Hf Cu Ge H
1 2 1 1
direct
0.000 0.000 0.000
0.000 0.500 0.500
0.500 0.000 0.500
0.500 0.500 0.000
0.000 0.000 0.500

***

(5)
GGA-PBE CuHgGeH2, relaxed; DFT total energy = -2.536 eV/atom; symmetry = P4/mmm (123)
1.0
3.728 0.000 0.000
0.000 3.728 0.000
0.000 0.000 5.539
Cu Hg Ge H
1 1 1 2
direct
0.000 0.000 0.000
0.000 0.000 0.500
0.500 0.500 0.500
0.000 0.500 0.000
0.500 0.000 0.000

***

(6)
GGA-PBE LaCuGeH, relaxed; DFT total energy = -4.830 eV/atom; symmetry = P3m1 (156)
1.0
4.262 0.000 0.000
-2.131 3.691 0.000
0.000 0.000 4.314
La Cu Ge H
1 1 1 1
direct
0.000 0.000 0.000
0.667 0.333 0.534
0.333 0.667 0.480
0.667 0.333 0.921

***

(7)
GGA-PBE La2CuGeH, relaxed; DFT total energy = -4.851 eV/atom; symmetry = P4/mmm (123)
1.0
5.084 0.000 0.000
0.000 5.084 0.000
0.000 0.000 3.959
La Cu Ge H
2 1 1 1
direct
0.000 0.500 0.000
0.500 0.000 0.000
0.000 0.000 0.500
0.500 0.500 0.500
0.000 0.000 0.000

***

(8)
GGA-PBE LiCu2GeH, relaxed; DFT total energy = -3.659 eV/atom; symmetry = P4/mmm (123)
1.0
3.782 0.000 0.000
0.000 3.782 0.000
0.000 0.000 3.821
Li Cu Ge H
1 2 1 1
direct
0.000 0.000 0.000
0.000 0.500 0.500
0.500 0.000 0.500
0.500 0.500 0.000
0.000 0.000 0.500

***

(9)
GGA-PBE Mn2CuGeH, relaxed; DFT total energy = -6.107 eV/atom; symmetry = P4/mmm (123)
1.0
3.750 0.000 0.000
0.000 3.750 0.000
0.000 0.000 3.787
Mn Cu Ge H
2 1 1 1
direct
0.000 0.500 0.000
0.500 0.000 0.000
0.000 0.000 0.500
0.500 0.500 0.500
0.000 0.000 0.000

***

(10)
GGA-PBE Cu2GeMoH, relaxed; DFT total energy = -5.295 eV/atom; symmetry = P4/mmm (123)
1.0
3.767 0.000 0.000
0.000 3.767 0.000
0.000 0.000 4.044
Cu Ge Mo H
2 1 1 1
direct
0.000 0.500 0.000
0.500 0.000 0.000
0.000 0.000 0.500
0.500 0.500 0.500
0.500 0.500 0.000

***

(11)
GGA-PBE NbCu2GeH, relaxed; DFT total energy = -5.331 eV/atom; symmetry = P4/mmm (123)
1.0
3.835 0.000 0.000
0.000 3.835 0.000
0.000 0.000 4.081
Nb Cu Ge H
1 2 1 1
direct
0.000 0.000 0.000
0.000 0.500 0.500
0.500 0.000 0.500
0.500 0.500 0.000
0.000 0.000 0.500

***

(12)
GGA-PBE Nb2CuGeH, relaxed; DFT total energy = -6.519 eV/atom; symmetry = P4/mmm (123)
1.0
4.057 0.000 0.000
0.000 4.057 0.000
0.000 0.000 4.023
Nb Cu Ge H
2 1 1 1
direct
0.000 0.500 0.000
0.500 0.000 0.000
0.000 0.000 0.500
0.500 0.500 0.500
0.000 0.000 0.000

***

(13)
GGA-PBE NpCuGeH, relaxed; DFT total energy = -6.443 eV/atom; symmetry = P3m1 (156)
1.0
4.161 0.000 0.000
-2.080 3.603 0.000
0.000 0.000 3.884
Np Cu Ge H
1 1 1 1
direct
0.000 0.000 0.000
0.667 0.333 0.502
0.333 0.667 0.499
0.667 0.333 0.999

***

(14)
GGA-PBE Cu2GePH, relaxed; DFT total energy = -3.637 eV/atom; symmetry = P4/mmm (123)
1.0
4.255 0.000 0.000
0.000 4.255 0.000
0.000 0.000 5.234
Cu Ge P H
2 1 1 1
direct
0.000 0.500 0.000
0.500 0.000 0.000
0.000 0.000 0.500
0.000 0.000 0.000
0.500 0.500 0.500

***

(15)
GGA-PBE CuGeHPd2, relaxed; DFT total energy = -4.631 eV/atom; symmetry = P4/mmm (123)
1.0
4.053 0.000 0.000
0.000 4.053 0.000
0.000 0.000 3.727
Cu Ge H Pd
1 1 1 2
direct
0.000 0.000 0.000
0.500 0.500 0.000
0.000 0.000 0.500
0.000 0.500 0.500
0.500 0.000 0.500

***

(16)
GGA-PBE CuGeH2Pd5, relaxed; DFT total energy = -4.705 eV/atom; symmetry = P4/mmm (123)
1.0
4.027 0.000 0.000
0.000 4.027 0.000
0.000 0.000 7.322
Cu Ge H Pd
1 1 2 5
direct
0.000 0.000 0.000
0.500 0.500 0.500
0.000 0.000 0.236
0.000 0.000 0.764
0.000 0.000 0.500
0.000 0.500 0.237
0.000 0.500 0.763
0.500 0.000 0.237
0.500 0.000 0.763

***

(17)
GGA-PBE PmCuGeH, relaxed; DFT total energy = -4.770 eV/atom; symmetry = P3m1 (156)
1.0
4.215 0.000 0.000
-2.108 3.651 0.000
0.000 0.000 4.075
Pm Cu Ge H
1 1 1 1
direct
0.000 0.000 0.000
0.667 0.333 0.534
0.333 0.667 0.483
0.667 0.333 0.946

***

(18)
GGA-PBE PrCu2GeH, relaxed; DFT total energy = -4.578 eV/atom; symmetry = Cmcm (63)
1.0
2.089 -5.386 0.000
2.089 5.386 0.000
0.000 0.000 6.773
Pr Cu Ge H
2 4 2 2
direct
0.072 0.928 0.750
0.928 0.072 0.250
0.344 0.656 0.562
0.344 0.656 0.938
0.656 0.344 0.062
0.656 0.344 0.438
0.212 0.788 0.250
0.788 0.212 0.750
0.500 0.500 0.000
0.500 0.500 0.500

***

(19)
GGA-PBE Cu2GeHRh, relaxed; DFT total energy = -4.736 eV/atom; symmetry = P4/mmm (123)
1.0
3.812 0.000 0.000
0.000 3.812 0.000
0.000 0.000 3.860
Cu Ge H Rh
2 1 1 1
direct
0.000 0.500 0.000
0.500 0.000 0.000
0.000 0.000 0.500
0.500 0.500 0.000
0.500 0.500 0.500

***

(20)
GGA-PBE CuGeHRu2, relaxed; DFT total energy = -6.050 eV/atom; symmetry = P4/mmm (123)
1.0
4.136 0.000 0.000
0.000 4.136 0.000
0.000 0.000 3.312
Cu Ge H Ru
1 1 1 2
direct
0.000 0.000 0.000
0.500 0.500 0.000
0.000 0.000 0.500
0.000 0.500 0.500
0.500 0.000 0.500